No. 1
## PmDyErGa (PBE-GGA)

Data for a geometry-optimized PmDyErGa structure.

Summary:
energy of formation	-34	meV/atom
M_tot	5.20	μB per cell

a = 7.5484 Å, b = 7.5484 Å, c = 7.5484 Å
α = 90.00°, β = 90.00°, γ = 90.00°
Closest atoms and distances in Å follow each position.
Space group F-43m (No. 216)
Asymmetric unit:
1 Pm 0.0000 0.0000 0.0000  4 Er 3.27, 4 Dy 3.27
2 Dy 0.2500 0.2500 0.2500  4 Pm 3.27, 4 Ga 3.27
3 Er 0.2500 0.2500 0.7500  4 Pm 3.27, 4 Ga 3.27
4 Ga 0.0000 0.0000 0.5000  4 Dy 3.27, 4 Er 3.27

---

No. 2
## CuIr6Rh12 (PBE-GGA)

Data for a geometry-optimized CuIr6Rh12 structure.

Summary:
energy of formation	185	meV/atom
M_tot	0.00	μB per cell

a = 9.2443 Å, b = 9.2443 Å, c = 11.3416 Å
α = 90.00°, β = 90.00°, γ = 120.00°
Closest atoms and distances in Å follow each position.
Space group R-3 (No. 148, hexagonal axes)
Asymmetric unit:
1 Cu 0.0000 0.0000 0.0000  6 Ir 2.59, 6 Rh 2.66
2 Ir 0.0259 0.5900 0.6986  1 Cu 2.59, 8 Rh 2.60-2.80, 2 Ir 2.66
3 Rh 0.0356 0.8520 0.8099  1 Cu 2.66, 5 Rh 2.67-2.89, 5 Ir 2.69-2.94
4 Rh 0.0666 0.2153 0.4146  4 Ir 2.60-2.77, 5 Rh 2.62-2.89

---

No. 3
## ReSbS2N (PBE-GGA)

Data for a geometry-optimized ReSbS2N structure.

Summary:
energy relative to the lowest polymorph listed for this composition	0	meV/atom
uncorrected formation energy	269	meV/atom
M_tot	0.00	μB per cell

a = 4.8635 Å, b = 4.8635 Å, c = 3.7528 Å
α = 90.00°, β = 90.00°, γ = 90.00°
Closest atoms and distances in Å follow each position.
Space group P4/mmm (No. 123)
Asymmetric unit:
1 Re 0.0000 0.0000 0.0000  2 N 1.88
2 Sb 0.5000 0.5000 0.5000  8 S 3.07, 4 N 3.44
3 S 0.0000 0.5000 0.0000  2 Re 2.43
4 N 0.0000 0.0000 0.5000  2 Re 1.88

---

No. 4
## Na3LiSc (PBE-GGA)

Data for a geometry-optimized Na3LiSc structure.

Summary:
energy of formation	841	meV/atom
M_tot	1.64	μB per cell

a = 6.2358 Å, b = 6.2358 Å, c = 6.2358 Å
α = 90.00°, β = 90.00°, γ = 90.00°
Closest atoms and distances in Å follow each position.
Space group Pm-3m (No. 221)
Asymmetric unit:
1 Na 0.0000 0.0000 0.5000  2 Sc 3.12
2 Li 0.5000 0.5000 0.5000  12 Na 4.41
3 Sc 0.0000 0.0000 0.0000  6 Na 3.12

---

| no. | DFT total energy (eV/atom) |
| --- | --- |
| 1 | -4.269 |
| 2 | -7.472 |
| 3 | -6.361 |
| 4 | -1.599 |